1.
The following is a PBE-GGA calculation of a relaxed structure of TiMnCoMo, from the Alexandria database.

```
TiMnCoMo
1.0
4.2249 0.0000 0.0000
2.1125 3.6589 0.0000
2.1125 1.2196 3.4496
Ti Mn Co Mo
1 1 1 1
direct
0.2500 0.2500 0.2500
0.0000 0.0000 0.0000
0.5000 0.5000 0.5000
0.7500 0.7500 0.7500
```

Calculated values
ΔH_f (0 K) = -0.12 eV per atom

2.
The following is a PBE-GGA calculation of a relaxed structure of MnTl2CoMo, from the Alexandria database.

```
MnTl2CoMo
1.0
-4.2509 2.9237 -1.5020
-1.5676 -0.0925 4.2565
2.7123 4.5071 1.0969
Tl Mo Mn Co
2 1 1 1
direct
0.5000 0.0000 0.0000
0.0000 0.0000 0.5000
0.0000 0.0000 0.0000
0.0000 0.5000 0.0000
0.5000 0.5000 0.5000
```

Calculated values
ΔH_f (0 K) = 1.48 eV per atom

3.
The following is a PBE-GGA calculation of a relaxed structure of MnVCoMo, from the Alexandria database.

```
MnVCoMo
1.0
4.1782 0.0000 0.0000
2.0891 3.6184 0.0000
2.0891 1.2061 3.4115
V Mo Mn Co
1 1 1 1
direct
0.2500 0.2500 0.2500
0.0000 0.0000 0.0000
0.7500 0.7500 0.7500
0.5000 0.5000 0.5000
```

Calculated values
ΔH_f (0 K) = -0.01 eV per atom

4.
The following is a PBE-GGA calculation of a relaxed structure of Mn4Co2N, from the Alexandria database.

```
Mn4Co2N
1.0
6.5214 0.0000 3.7651
2.1738 6.1484 3.7651
0.0000 0.0000 7.5303
Mn Co N
16 8 4
direct
0.1888 0.8112 0.8112
0.1250 0.6250 0.6250
0.4388 0.4388 0.0612
0.0612 0.4388 0.0612
0.6250 0.6250 0.6250
0.0612 0.4388 0.4388
0.1888 0.8112 0.1888
0.4388 0.0612 0.4388
0.8112 0.1888 0.8112
0.1888 0.1888 0.8112
0.4388 0.0612 0.0612
0.6250 0.6250 0.1250
0.8112 0.8112 0.1888
0.6250 0.1250 0.6250
0.0612 0.0612 0.4388
0.8112 0.1888 0.1888
0.4169 0.4169 0.4169
0.4169 0.4169 0.7493
0.8331 0.5007 0.8331
0.8331 0.8331 0.8331
0.8331 0.8331 0.5007
0.7493 0.4169 0.4169
0.5007 0.8331 0.8331
0.4169 0.7493 0.4169
0.1250 0.1250 0.1250
0.1250 0.1250 0.6250
0.1250 0.6250 0.1250
0.6250 0.1250 0.1250
```

Calculated values
raw formation energy = -57 kJ/mol of formula units